1.
First-principles (GGA-PBE) data for an optimized crystal structure of HfTaAsO, as listed in OQMD.

Computed properties:
- Final energy: -69.54 eV/cell

Cell: 4.0388 4.0388 7.5084 Å, 90.00 90.00 90.00°
Space group P4/nmm (No. 129, origin choice 2)
Inequivalent atoms, fractional coordinates:
1 Hf 0.2500 0.7500 0.0000 (multiplicity 2)
2 Ta 0.2500 0.2500 0.3827 (multiplicity 2)
3 As 0.2500 0.2500 0.7543 (multiplicity 2)
4 O 0.2500 0.7500 0.5000 (multiplicity 2)

---

2.
First-principles (GGA-PBE) data for an optimized crystal structure of HfTaAsO, as listed in OQMD.

Computed properties:
- Final energy: -73.66 eV/cell

Cell: 3.4407 5.9532 6.3549 Å, 90.00 90.00 90.00°
Space group Pmc2_1 (No. 26)
Inequivalent atoms, fractional coordinates:
1 Hf 0.0000 0.0859 0.0000 (multiplicity 2)
2 Ta 0.5000 0.3864 0.6789 (multiplicity 2)
3 As 0.0000 0.3307 0.3700 (multiplicity 2)
4 O 0.5000 0.2772 0.9956 (multiplicity 2)

---

3.
First-principles (GGA-PBE) data for an optimized crystal structure of HfTaAsO, as listed in OQMD.

Computed properties:
- Final energy: -74.20 eV/cell

Cell: 3.8076 3.8076 8.4550 Å, 90.00 90.00 90.00°
Space group P4/nmm (No. 129, origin choice 2)
Inequivalent atoms, fractional coordinates:
1 Hf 0.2500 0.2500 0.1385 (multiplicity 2)
2 Ta 0.2500 0.7500 0.5000 (multiplicity 2)
3 As 0.2500 0.2500 0.7245 (multiplicity 2)
4 O 0.2500 0.7500 0.0000 (multiplicity 2)

---

4.
First-principles (GGA-PBE) data for an optimized crystal structure of HfTaAsO, as listed in OQMD.

Computed properties:
- Final energy: -69.47 eV/cell

Cell: 3.8053 3.8053 8.3452 Å, 90.00 90.00 90.00°
Space group P4/nmm (No. 129, origin choice 2)
Inequivalent atoms, fractional coordinates:
1 Hf 0.2500 0.7500 0.0000 (multiplicity 2)
2 Ta 0.2500 0.2500 0.3579 (multiplicity 2)
3 As 0.2500 0.2500 0.7606 (multiplicity 2)
4 O 0.2500 0.7500 0.5000 (multiplicity 2)

---

5.
First-principles (GGA-PBE) data for an optimized crystal structure of HfTcAsO, as listed in OQMD.

Computed properties:
- Final energy: -69.03 eV/cell

Cell: 4.2876 4.7607 5.9788 Å, 90.00 90.00 90.00°
Space group Pmc2_1 (No. 26)
Inequivalent atoms, fractional coordinates:
1 Hf 0.0000 0.2309 0.0000 (multiplicity 2)
2 Tc 0.5000 0.3851 0.3330 (multiplicity 2)
3 As 0.5000 0.1189 0.6887 (multiplicity 2)
4 O 0.0000 0.4275 0.3001 (multiplicity 2)

---

6.
First-principles (GGA-PBE) data for an optimized crystal structure of HfTcAsO, as listed in OQMD.

Computed properties:
- Final energy: -70.66 eV/cell

Cell: 4.0751 4.0751 6.9141 Å, 90.00 90.00 90.00°
Space group P4/nmm (No. 129, origin choice 2)
Inequivalent atoms, fractional coordinates:
1 Hf 0.2500 0.2500 0.1296 (multiplicity 2)
2 Tc 0.2500 0.7500 0.5000 (multiplicity 2)
3 As 0.2500 0.2500 0.6963 (multiplicity 2)
4 O 0.2500 0.7500 0.0000 (multiplicity 2)

---

7.
First-principles (GGA-PBE) data for an optimized crystal structure of HfTcAsO, as listed in OQMD.

Computed properties:
- Final energy: -69.45 eV/cell

Cell: 4.0910 5.6003 5.4860 Å, 90.00 90.00 90.00°
Space group Pmc2_1 (No. 26)
Inequivalent atoms, fractional coordinates:
1 Hf 0.0000 0.2179 0.0000 (multiplicity 2)
2 Tc 0.5000 0.5000 0.2511 (multiplicity 2)
3 As 0.0000 0.2804 0.5006 (multiplicity 2)
4 O 0.5000 0.1993 0.0017 (multiplicity 2)

---

8.
First-principles (GGA-PBE) data for an optimized crystal structure of HfTcAsO, as listed in OQMD.

Computed properties:
- Final energy: -61.36 eV/cell

Cell: 4.1760 4.1760 6.6547 Å, 90.00 90.00 90.00°
Space group P4/nmm (No. 129, origin choice 2)
Inequivalent atoms, fractional coordinates:
1 Hf 0.2500 0.7500 0.0000 (multiplicity 2)
2 Tc 0.2500 0.2500 0.3541 (multiplicity 2)
3 As 0.2500 0.2500 0.7312 (multiplicity 2)
4 O 0.2500 0.7500 0.5000 (multiplicity 2)

---

9.
First-principles (GGA-PBE) data for an optimized crystal structure of HfTeAsO, as listed in OQMD.

Computed properties:
- Final energy: -55.27 eV/cell

Cell: 3.7167 7.6407 7.2169 Å, 90.00 90.00 90.00°
Space group Pmc2_1 (No. 26)
Inequivalent atoms, fractional coordinates:
1 Hf 0.0000 0.0575 0.0000 (multiplicity 2)
2 Te 0.5000 0.2612 0.5817 (multiplicity 2)
3 As 0.5000 0.3091 0.9329 (multiplicity 2)
4 O 0.0000 0.0866 0.2682 (multiplicity 2)

---

10.
First-principles (GGA-PBE) data for an optimized crystal structure of HfTeAsO, as listed in OQMD.

Computed properties:
- Final energy: -54.90 eV/cell

Cell: 3.4291 8.5919 6.4322 Å, 90.00 90.00 90.00°
Space group Pmc2_1 (No. 26)
Inequivalent atoms, fractional coordinates:
1 Hf 0.0000 0.2339 0.0000 (multiplicity 2)
2 Te 0.5000 0.2616 0.5963 (multiplicity 2)
3 As 0.0000 0.0754 0.3736 (multiplicity 2)
4 O 0.5000 0.3323 0.0727 (multiplicity 2)

---

11.
First-principles (GGA-PBE) data for an optimized crystal structure of HfTeAsO, as listed in OQMD.

Computed properties:
- Final energy: -48.84 eV/cell

Cell: 5.0710 5.0710 5.4451 Å, 90.00 90.00 90.00°
Space group P4/nmm (No. 129, origin choice 2)
Inequivalent atoms, fractional coordinates:
1 Hf 0.2500 0.7500 0.0000 (multiplicity 2)
2 Te 0.2500 0.2500 0.3404 (multiplicity 2)
3 As 0.2500 0.2500 0.8221 (multiplicity 2)
4 O 0.2500 0.7500 0.5000 (multiplicity 2)

---

12.
First-principles (GGA-PBE) data for an optimized crystal structure of HfTeAsO, as listed in OQMD.

Computed properties:
- Final energy: -53.08 eV/cell

Cell: 3.8834 3.8834 10.4784 Å, 90.00 90.00 90.00°
Space group P4/nmm (No. 129, origin choice 2)
Inequivalent atoms, fractional coordinates:
1 Hf 0.2500 0.2500 0.1015 (multiplicity 2)
2 Te 0.2500 0.7500 0.5000 (multiplicity 2)
3 As 0.2500 0.2500 0.7676 (multiplicity 2)
4 O 0.2500 0.7500 0.0000 (multiplicity 2)

---

13.
First-principles (GGA-PBE) data for an optimized crystal structure of YHfAsO, as listed in OQMD.

Computed properties:
- Final energy: -67.21 eV/cell

Cell: 4.1496 4.1496 8.7196 Å, 90.00 90.00 90.00°
Space group P4/nmm (No. 129, origin choice 2)
Inequivalent atoms, fractional coordinates:
1 Y 0.2500 0.2500 0.1151 (multiplicity 2)
2 Hf 0.2500 0.7500 0.5000 (multiplicity 2)
3 As 0.2500 0.2500 0.6965 (multiplicity 2)
4 O 0.2500 0.7500 0.0000 (multiplicity 2)

---

14.
First-principles (GGA-PBE) data for an optimized crystal structure of YHfAsO, as listed in OQMD.

Computed properties:
- Final energy: -65.87 eV/cell

Cell: 3.9546 7.4552 5.7908 Å, 90.00 90.00 90.00°
Space group Pmc2_1 (No. 26)
Inequivalent atoms, fractional coordinates:
1 Y 0.0000 0.2244 0.0000 (multiplicity 2)
2 Hf 0.5000 0.3938 0.5440 (multiplicity 2)
3 As 0.0000 0.1589 0.4957 (multiplicity 2)
4 O 0.5000 0.3486 0.9039 (multiplicity 2)

---

15.
First-principles (GGA-PBE) data for an optimized crystal structure of YHfAsO, as listed in OQMD.

Computed properties:
- Final energy: -66.11 eV/cell

Cell: 5.1479 4.0371 7.5759 Å, 90.00 90.00 90.00°
Space group Pmma (No. 51)
Inequivalent atoms, fractional coordinates:
1 Y 0.2500 0.0000 0.1376 (multiplicity 2)
2 Hf 0.2500 0.5000 0.7512 (multiplicity 2)
3 As 0.2500 0.5000 0.3917 (multiplicity 2)
4 O 0.2500 0.0000 0.8287 (multiplicity 2)

---

16.
First-principles (GGA-PBE) data for an optimized crystal structure of YHfAsO, as listed in OQMD.

Computed properties:
- Final energy: -63.53 eV/cell

Cell: 4.1005 4.1005 8.3013 Å, 90.00 90.00 90.00°
Space group P4/nmm (No. 129, origin choice 2)
Inequivalent atoms, fractional coordinates:
1 Y 0.2500 0.7500 0.0000 (multiplicity 2)
2 Hf 0.2500 0.2500 0.3909 (multiplicity 2)
3 As 0.2500 0.2500 0.7586 (multiplicity 2)
4 O 0.2500 0.7500 0.5000 (multiplicity 2)

---

17.
First-principles (GGA-PBE) data for an optimized crystal structure of HfZnAsO, as listed in OQMD.

Computed properties:
- Final energy: -51.45 eV/cell

Cell: 4.2027 5.7235 5.5739 Å, 90.00 90.00 90.00°
Space group Pmc2_1 (No. 26)
Inequivalent atoms, fractional coordinates:
1 Hf 0.0000 0.1855 0.0000 (multiplicity 2)
2 Zn 0.5000 0.1776 0.6233 (multiplicity 2)
3 As 0.0000 0.3226 0.4720 (multiplicity 2)
4 O 0.5000 0.1812 0.9964 (multiplicity 2)

---

18.
First-principles (GGA-PBE) data for an optimized crystal structure of HfZnAsO, as listed in OQMD.

Computed properties:
- Final energy: -51.62 eV/cell

Cell: 3.5639 6.0458 6.3883 Å, 90.00 90.00 90.00°
Space group Pmc2_1 (No. 26)
Inequivalent atoms, fractional coordinates:
1 Hf 0.0000 0.0267 0.0000 (multiplicity 2)
2 Zn 0.5000 0.3906 0.3673 (multiplicity 2)
3 As 0.5000 0.2337 0.7343 (multiplicity 2)
4 O 0.0000 0.2230 0.2645 (multiplicity 2)

---

19.
First-principles (GGA-PBE) data for an optimized crystal structure of HfZrAsO, as listed in OQMD.

Computed properties:
- Final energy: -68.60 eV/cell

Cell: 3.8754 3.8754 8.6943 Å, 90.00 90.00 90.00°
Space group P4/nmm (No. 129, origin choice 2)
Inequivalent atoms, fractional coordinates:
1 Hf 0.2500 0.7500 0.0000 (multiplicity 2)
2 Zr 0.2500 0.2500 0.3661 (multiplicity 2)
3 As 0.2500 0.2500 0.7737 (multiplicity 2)
4 O 0.2500 0.7500 0.5000 (multiplicity 2)

---

20.
First-principles (GGA-PBE) data for an optimized crystal structure of HfZrAsO, as listed in OQMD.

Computed properties:
- Final energy: -68.14 eV/cell

Cell: 3.7674 7.3191 5.5770 Å, 90.00 90.00 90.00°
Space group Pmc2_1 (No. 26)
Inequivalent atoms, fractional coordinates:
1 Hf 0.0000 0.1095 0.0000 (multiplicity 2)
2 Zr 0.5000 0.2556 0.4932 (multiplicity 2)
3 As 0.5000 0.3705 0.9667 (multiplicity 2)
4 O 0.0000 0.1654 0.3676 (multiplicity 2)

---

21.
First-principles (GGA-PBE) data for an optimized crystal structure of HfZrAsO, as listed in OQMD.

Computed properties:
- Final energy: -69.00 eV/cell

Cell: 3.8797 3.8797 8.5940 Å, 90.00 90.00 90.00°
Space group P4/nmm (No. 129, origin choice 2)
Inequivalent atoms, fractional coordinates:
1 Hf 0.2500 0.2500 0.1292 (multiplicity 2)
2 Zr 0.2500 0.7500 0.5000 (multiplicity 2)
3 As 0.2500 0.2500 0.7309 (multiplicity 2)
4 O 0.2500 0.7500 0.0000 (multiplicity 2)

---

22.
First-principles (GGA-PBE) data for an optimized crystal structure of HfZrAsO, as listed in OQMD.

Computed properties:
- Final energy: -68.33 eV/cell

Cell: 3.7315 7.3217 5.5572 Å, 90.00 90.00 90.00°
Space group Pmc2_1 (No. 26)
Inequivalent atoms, fractional coordinates:
1 Hf 0.0000 0.2432 0.0000 (multiplicity 2)
2 Zr 0.5000 0.3890 0.5055 (multiplicity 2)
3 As 0.0000 0.1223 0.4702 (multiplicity 2)
4 O 0.5000 0.3190 0.8861 (multiplicity 2)

---

23.
First-principles (GGA-PBE) data for an optimized crystal structure of HfAsOs, as listed in OQMD.

Computed properties:
- Final energy: -78.60 eV/cell

Cell: 7.5352 7.5352 3.0721 Å, 90.00 90.00 120.00°
Space group P-62m (No. 189)
Inequivalent atoms, fractional coordinates:
1 Hf 0.0000 0.2975 0.0000 (multiplicity 3)
2 As 0.0000 0.0000 0.5000 (multiplicity 1)
3 As 0.3333 0.6667 0.0000 (multiplicity 2)
4 Os 0.0000 0.6386 0.5000 (multiplicity 3)

---

24.
First-principles (GGA-PBE) data for an optimized crystal structure of HfAsOs, as listed in OQMD.

Computed properties:
- Final energy: -51.81 eV/cell

Cell: 4.7768 4.7768 5.2073 Å, 90.00 90.00 120.00°
Space group P6_3/mmc (No. 194)
Inequivalent atoms, fractional coordinates:
1 Hf 0.3333 0.6667 0.2500 (multiplicity 2)
2 As 0.3333 0.6667 0.7500 (multiplicity 2)
3 Os 0.0000 0.0000 0.0000 (multiplicity 2)

---

25.
First-principles (GGA-PBE) data for an optimized crystal structure of HfAsOs2, as listed in OQMD.

Computed properties:
- Final energy: -143.67 eV/cell

Cell: 6.3912 6.3912 6.3912 Å, 90.00 90.00 90.00°
Space group F-43m (No. 216)
Inequivalent atoms, fractional coordinates:
1 Hf 0.0000 0.0000 0.0000 (multiplicity 4)
2 As 0.2500 0.2500 0.7500 (multiplicity 4)
3 Os 0.0000 0.0000 0.5000 (multiplicity 4)
4 Os 0.2500 0.2500 0.2500 (multiplicity 4)